Material: Na2Ag2OsO6
Method: DFT, PBE
State: relaxed

```
Na2Ag2OsO6
1.0
-5.134 1.935 -0.510
0.320 -4.991 2.313
2.932 3.933 3.986
Ag Os O Na
2 1 6 2
direct
0.201 0.799 0.000
0.799 0.201 0.000
0.000 0.000 0.500
0.902 0.616 0.313
0.868 0.868 0.721
0.098 0.384 0.687
0.132 0.132 0.279
0.616 0.902 0.313
0.384 0.098 0.687
0.653 0.347 0.500
0.347 0.653 0.500
```

Values from the calculation:
* M_tot: 0.00 μB per atom
* formation energy without anion corrections: -82.7 kJ per mole of atoms